Record 1
Below is an optimized crystal structure of LiHfRuRh, with properties calculated at the PBE level.

**Size of the total moment**: 0.00 μB/f.u.
**Formation energy from the elements**: -0.46 eV per atom
**DOS at the Fermi energy**: 2.39 states/eV per cell
**Space-group type**: F-43m (216)

```
LiHfRuRh
1.0
0.000 3.107 3.107
3.107 0.000 3.107
3.107 3.107 0.000
Li Hf Ru Rh
1 1 1 1
Direct
0.000 0.000 0.000
0.500 0.500 0.500
0.250 0.250 0.250
0.750 0.750 0.750
```


Record 2
Below is an optimized crystal structure of LiHfSbRh, with properties calculated at the PBE level.

**Size of the total moment**: 0.00 μB/f.u.
**DOS at the Fermi energy**: 3.14 states/eV per cell
**Uncorrected formation energy**: -497 meV/atom
**Space-group type**: F-43m (216)

```
LiHfSbRh
1.0
0.000 3.250 3.250
3.250 0.000 3.250
3.250 3.250 0.000
Li Hf Sb Rh
1 1 1 1
Direct
0.000 0.000 0.000
0.750 0.750 0.750
0.250 0.250 0.250
0.500 0.500 0.500
```


Record 3
Below is an optimized crystal structure of LiHfScRh, with properties calculated at the PBE level.

**Size of the total moment**: 0.00 μB/f.u.
**Formation energy from the elements**: -0.46 eV per atom
**DOS at the Fermi energy**: 3.08 states/eV per cell
**Space-group type**: F-43m (216)

```
LiHfScRh
1.0
0.000 3.272 3.272
3.272 0.000 3.272
3.272 3.272 0.000
Li Hf Sc Rh
1 1 1 1
Direct
0.000 0.000 0.000
0.750 0.750 0.750
0.250 0.250 0.250
0.500 0.500 0.500
```


Record 4
Below is an optimized crystal structure of LiHf2ScRh4, with properties calculated at the PBE level.

**Size of the total moment**: 0.00 μB/f.u.
**Formation energy from the elements**: -0.88 eV per atom
**DOS at the Fermi energy**: 1.59 states/eV per cell
**Space-group type**: R-3m (166)

```
LiHf2ScRh4
1.0
2.254 1.302 7.350
-2.254 1.302 7.350
0.000 -2.603 7.350
Li Hf Sc Rh
1 2 1 4
Direct
0.000 0.000 0.000
0.255 0.255 0.255
0.745 0.745 0.745
0.500 0.500 0.500
0.126 0.126 0.126
0.376 0.376 0.376
0.624 0.624 0.624
0.874 0.874 0.874
```


Record 5
Below is an optimized crystal structure of LiSmHfRh, with properties calculated at the PBE level.

**Size of the total moment**: 0.00 μB/f.u.
**Formation energy from the elements**: -0.27 eV per atom
**DOS at the Fermi energy**: 3.82 states/eV per cell
**Space-group type**: F-43m (216)

```
LiSmHfRh
1.0
0.000 3.413 3.413
3.413 0.000 3.413
3.413 3.413 0.000
Li Sm Hf Rh
1 1 1 1
Direct
0.000 0.000 0.000
0.750 0.750 0.750
0.250 0.250 0.250
0.500 0.500 0.500
```


Record 6
Below is an optimized crystal structure of LiTbHfRh, with properties calculated at the PBE level.

**Size of the total moment**: 0.00 μB/f.u.
**Formation energy from the elements**: -0.34 eV per atom
**DOS at the Fermi energy**: 3.54 states/eV per cell
**Space-group type**: F-43m (216)

```
LiTbHfRh
1.0
0.000 3.384 3.384
3.384 0.000 3.384
3.384 3.384 0.000
Li Tb Hf Rh
1 1 1 1
Direct
0.000 0.000 0.000
0.250 0.250 0.250
0.750 0.750 0.750
0.500 0.500 0.500
```


Record 7
Below is an optimized crystal structure of LiHfTiRh, with properties calculated at the PBE level.

**Size of the total moment**: 0.02 μB/f.u.
**Formation energy from the elements**: -0.33 eV per atom
**DOS at the Fermi energy**: 2.41 states/eV per cell
**Space-group type**: F-43m (216)

```
LiHfTiRh
1.0
0.000 3.191 3.191
3.191 0.000 3.191
3.191 3.191 0.000
Li Hf Ti Rh
1 1 1 1
Direct
0.000 0.000 0.000
0.250 0.250 0.250
0.750 0.750 0.750
0.500 0.500 0.500
```


Record 8
Below is an optimized crystal structure of LiYHfRh, with properties calculated at the PBE level.

**Size of the total moment**: 0.00 μB/f.u.
**Formation energy from the elements**: -0.35 eV per atom
**DOS at the Fermi energy**: 3.28 states/eV per cell
**Space-group type**: F-43m (216)

```
LiYHfRh
1.0
0.000 3.382 3.382
3.382 0.000 3.382
3.382 3.382 0.000
Li Y Hf Rh
1 1 1 1
Direct
0.000 0.000 0.000
0.750 0.750 0.750
0.250 0.250 0.250
0.500 0.500 0.500
```


Record 9
Below is an optimized crystal structure of LiHfZnRh, with properties calculated at the PBE level.

**Size of the total moment**: 0.00 μB/f.u.
**Formation energy from the elements**: -0.41 eV per atom
**DOS at the Fermi energy**: 4.22 states/eV per cell
**Space-group type**: F-43m (216)

```
LiHfZnRh
1.0
0.000 3.144 3.144
3.144 0.000 3.144
3.144 3.144 0.000
Li Hf Zn Rh
1 1 1 1
Direct
0.000 0.000 0.000
0.750 0.750 0.750
0.250 0.250 0.250
0.500 0.500 0.500
```


Record 10
Below is an optimized crystal structure of LiHf2ZrRh4, with properties calculated at the PBE level.

**Size of the total moment**: 0.00 μB/f.u.
**Formation energy from the elements**: -0.80 eV per atom
**DOS at the Fermi energy**: 4.87 states/eV per cell
**Space-group type**: R-3m (166)

```
LiHf2ZrRh4
1.0
2.273 1.312 7.443
-2.273 1.312 7.443
0.000 -2.625 7.443
Li Hf Zr Rh
1 2 1 4
Direct
0.000 0.000 0.000
0.257 0.257 0.257
0.743 0.743 0.743
0.500 0.500 0.500
0.127 0.127 0.127
0.377 0.377 0.377
0.623 0.623 0.623
0.873 0.873 0.873
```


Record 11
Below is an optimized crystal structure of Li2HfRu, with properties calculated at the PBE level.

**Size of the total moment**: 0.00 μB/f.u.
**Formation energy from the elements**: 0.22 eV per atom
**DOS at the Fermi energy**: 1.96 states/eV per cell
**Space-group type**: Fm-3m (225)

```
Li2HfRu
1.0
0.000 3.059 3.059
3.059 0.000 3.059
3.059 3.059 0.000
Li Hf Ru
2 1 1
Direct
0.250 0.250 0.250
0.750 0.750 0.750
0.000 0.000 0.000
0.500 0.500 0.500
```


Record 12
Below is an optimized crystal structure of LiHfRu3, with properties calculated at the PBE level.

**Size of the total moment**: 3.68 μB/f.u.
**Formation energy from the elements**: 1.38 eV per atom
**DOS at the Fermi energy**: 4.64 states/eV per cell
**Space-group type**: Pm-3m (221)

```
LiHfRu3
1.0
4.826 0.000 0.000
0.000 4.826 0.000
0.000 0.000 4.826
Li Hf Ru
1 1 3
Direct
0.000 0.000 0.000
0.500 0.500 0.500
0.000 0.500 0.500
0.500 0.000 0.500
0.500 0.500 0.000
```